[1]
CrNi2Ir2 | PBE | optimized geometry Values from VASP.

Results
**ΔE to the lowest computed polymorph**: 343.8 meV/atom
**E_form**: 0.2656 eV per atom

The structure in Quantum ESPRESSO input format:
```
&SYSTEM
  ibrav = 0, nat = 10, ntyp = 3
/
ATOMIC_SPECIES
Cr 52.00 Cr.upf
Ni 58.69 Ni.upf
Ir 192.22 Ir.upf
ATOMIC_POSITIONS angstrom
Cr 0.000 0.000 0.000
Cr 3.457 3.457 0.000
Ni 0.854 2.603 0.000
Ni 2.603 6.059 0.000
Ni 4.311 0.854 0.000
Ni 6.059 4.311 0.000
Ir 1.208 4.664 1.365
Ir 2.249 1.208 1.365
Ir 4.664 5.706 1.365
Ir 5.706 2.249 1.365
CELL_PARAMETERS angstrom
6.914 0.000 0.000
0.000 6.914 0.000
0.000 0.000 2.729
```



[2]
MgSb2W | PBE | optimized geometry Values from VASP.

Results
**ΔE to the lowest computed polymorph**: 147.5 meV/atom

The structure in Quantum ESPRESSO input format:
```
&SYSTEM
  ibrav = 0, nat = 4, ntyp = 3
/
ATOMIC_SPECIES
Mg 24.30 Mg.upf
Sb 121.76 Sb.upf
W 183.84 W.upf
ATOMIC_POSITIONS angstrom
Mg 0.000 0.000 0.000
Sb 0.000 0.000 4.637
Sb 1.723 1.723 1.726
W 1.723 1.723 6.032
CELL_PARAMETERS angstrom
3.445 0.000 0.000
0.000 3.445 0.000
0.000 0.000 7.585
```



[3]
AcMg4Sn2 | PBE | optimized geometry Values from VASP.

Results
**E_form**: -0.3593 eV per atom

The structure in Quantum ESPRESSO input format:
```
&SYSTEM
  ibrav = 0, nat = 14, ntyp = 3
/
ATOMIC_SPECIES
Ac 227.00 Ac.upf
Mg 24.30 Mg.upf
Sn 118.71 Sn.upf
ATOMIC_POSITIONS angstrom
Ac 0.000 0.000 0.000
Ac 4.452 4.452 2.341
Mg 0.816 3.104 2.341
Mg 1.348 5.269 0.000
Mg 3.104 0.816 2.341
Mg 3.636 7.557 0.000
Mg 5.269 1.348 0.000
Mg 5.800 8.088 2.341
Mg 7.557 3.636 0.000
Mg 8.088 5.800 2.341
Sn 1.854 7.051 2.341
Sn 2.598 2.598 0.000
Sn 6.306 6.306 0.000
Sn 7.051 1.854 2.341
CELL_PARAMETERS angstrom
8.905 0.000 0.000
0.000 8.905 0.000
0.000 0.000 4.681
```



[4]
Sr2CaPrTe4 | PBE | optimized geometry Values from VASP.

Results
**Total energy**: -4.459 eV/atom

The structure in Quantum ESPRESSO input format:
```
&SYSTEM
  ibrav = 0, nat = 8, ntyp = 4
/
ATOMIC_SPECIES
Sr 87.62 Sr.upf
Ca 40.08 Ca.upf
Pr 140.91 Pr.upf
Te 127.60 Te.upf
ATOMIC_POSITIONS angstrom
Sr 0.000 0.000 0.000
Sr 4.008 2.303 0.000
Ca -1.329 2.303 3.798
Pr 2.679 0.000 3.798
Te -0.003 0.000 5.605
Te 1.324 2.303 1.973
Te 4.034 2.303 5.624
Te 5.361 0.000 1.991
CELL_PARAMETERS angstrom
8.016 0.000 0.000
0.000 4.605 0.000
-2.658 0.000 7.596
```



[5]
BeSbTe2As | PBE | optimized geometry Values from VASP.

Results
**ΔE to the lowest computed polymorph**: 0.0 meV/atom

The structure in Quantum ESPRESSO input format:
```
&SYSTEM
  ibrav = 0, nat = 5, ntyp = 4
/
ATOMIC_SPECIES
Be 9.01 Be.upf
Sb 121.76 Sb.upf
Te 127.60 Te.upf
As 74.92 As.upf
ATOMIC_POSITIONS angstrom
Be 0.000 0.000 0.000
Sb 0.000 0.000 2.469
Te 0.000 2.470 0.000
Te 2.470 0.000 0.000
As 2.470 2.470 2.469
CELL_PARAMETERS angstrom
4.940 0.000 0.000
0.000 4.940 0.000
0.000 0.000 4.938
```



[6]
BaSi2Te | PBE | optimized geometry Values from VASP.

Results
**Total energy**: -3.983 eV/atom

The structure in Quantum ESPRESSO input format:
```
&SYSTEM
  ibrav = 0, nat = 4, ntyp = 3
/
ATOMIC_SPECIES
Ba 137.33 Ba.upf
Si 28.09 Si.upf
Te 127.60 Te.upf
ATOMIC_POSITIONS angstrom
Ba 0.000 0.000 0.000
Si 0.000 0.000 3.181
Si 1.976 2.013 2.175
Te 1.976 2.013 4.756
CELL_PARAMETERS angstrom
3.953 0.000 0.000
0.000 4.026 0.000
0.000 0.000 6.783
```



Copy entry 6 word for word.
BaSi2Te | PBE | optimized geometry Values from VASP.

Results
**Total energy**: -3.983 eV/atom

The structure in Quantum ESPRESSO input format:
```
&SYSTEM
  ibrav = 0, nat = 4, ntyp = 3
/
ATOMIC_SPECIES
Ba 137.33 Ba.upf
Si 28.09 Si.upf
Te 127.60 Te.upf
ATOMIC_POSITIONS angstrom
Ba 0.000 0.000 0.000
Si 0.000 0.000 3.181
Si 1.976 2.013 2.175
Te 1.976 2.013 4.756
CELL_PARAMETERS angstrom
3.953 0.000 0.000
0.000 4.026 0.000
0.000 0.000 6.783
```